Entry 1:
This record from the Alexandria database describes an optimized crystal structure of LiZrCl2. The functional is PBE-GGA.

Values from the calculation:
**Energy above the lowest structure with this stoichiometry**: 0.077 eV per atom
**Formation energy from raw total energies**: -1082 meV per atom
**VASP energy**: -4.620 eV per atom
**Calculated density**: 3.529 g/cm³
**DOS(E_F)**: 0.46 states/eV/atom

abc: 3.5433 3.5433 7.9077
angles: 90.00 90.00 126.73
Closest atoms and distances in Å follow each position.
Sites, in units of the cell vectors:
Li1 0.0000 0.0000 0.0000  4 Cl 2.37
Zr1 0.0000 0.0000 0.5000  4 Cl 2.71
Cl1 0.5000 0.5000 0.2222  2 Li 2.37
Cl2 0.5000 0.5000 0.7778  2 Li 2.37


Entry 2:
This record from the Alexandria database describes an optimized crystal structure of LiZrCl2. The functional is PBE-GGA.

Values from the calculation:
**Energy above the lowest structure with this stoichiometry**: 0.020 eV per atom
**Formation energy from raw total energies**: -1139 meV per atom
**VASP energy**: -4.678 eV per atom
**Calculated density**: 3.350 g/cm³
**DOS(E_F)**: 0.65 states/eV/atom

abc: 3.2657 3.2657 7.8574
angles: 90.00 90.00 90.00
Closest atoms and distances in Å follow each position.
Sites, in units of the cell vectors:
Li1 0.0000 0.0000 0.0000  4 Cl 2.34
Zr1 0.5000 0.5000 0.2888  5 Cl 2.66-2.81
Cl1 0.0000 0.0000 0.4922  4 Zr 2.81
Cl2 0.5000 0.5000 0.9502  4 Li 2.34


Entry 3:
This record from the Alexandria database describes an optimized crystal structure of LiZrCl2. The functional is PBE-GGA.

Values from the calculation:
**Energy above the lowest structure with this stoichiometry**: 1.096 eV per atom
**Formation energy from raw total energies**: -63 meV per atom
**VASP energy**: -3.601 eV per atom
**Calculated density**: 3.347 g/cm³
**DOS(E_F)**: 0.74 states/eV/atom

abc: 4.9133 4.9133 4.9133
angles: 60.00 60.00 60.00
Closest atoms and distances in Å follow each position.
Sites, in units of the cell vectors:
Li1 0.0000 0.0000 0.0000  4 Zr 3.01, 4 Cl 3.01
Zr1 0.2500 0.2500 0.2500  4 Cl 3.01, 4 Li 3.01
Cl1 0.5000 0.5000 0.5000  4 Cl 3.01, 4 Zr 3.01
Cl2 0.7500 0.7500 0.7500  4 Cl 3.01, 4 Li 3.01


Entry 4:
This record from the Alexandria database describes an optimized crystal structure of LiZrCl2. The functional is PBE-GGA.

Values from the calculation:
**Energy above the lowest structure with this stoichiometry**: 0.165 eV per atom
**Formation energy from raw total energies**: -993 meV per atom
**VASP energy**: -4.532 eV per atom
**Calculated density**: 3.654 g/cm³
**DOS(E_F)**: 0.10 states/eV/atom

abc: 7.4466 7.4466 7.4466
angles: 154.58 154.27 36.48
Closest atoms and distances in Å follow each position.
Sites, in units of the cell vectors:
Li1 0.0000 0.0000 0.0000  4 Cl 2.37
Zr1 0.3111 0.8111 0.5000  6 Cl 2.76-2.82
Cl1 0.4680 0.4680 0.0000  4 Li 2.37
Cl2 0.6989 0.1989 0.5000  4 Zr 2.82